[1]
{
  "formula": "LuGaSn2",
  "functional": "PBE",
  "state": "optimized geometry",
  "space_group": "No. 216",
  "e_tot_ev_per_atom": -4.015,
  "cell": [[0.000, 3.688, 3.688], [3.688, 0.000, 3.688], [3.688, 3.688, 0.000]],
  "species": ["Lu", "Ga", "Sn", "Sn"],
  "frac_coords": [[0.000, 0.000, 0.000], [0.750, 0.750, 0.750], [0.250, 0.250, 0.250], [0.500, 0.500, 0.500]]
}

---

[2]
{
  "formula": "LuGaSnTe3",
  "functional": "PBE",
  "state": "optimized geometry",
  "space_group": "No. 63",
  "polymorph_energy_mev_per_atom": 0,
  "cell": [[2.116, -7.385, 0.000], [2.116, 7.385, 0.000], [0.000, 0.000, 12.265]],
  "species": ["Lu", "Lu", "Ga", "Ga", "Sn", "Sn", "Te", "Te", "Te", "Te", "Te", "Te"],
  "frac_coords": [[0.000, 0.000, 0.000], [0.000, 0.000, 0.500], [0.333, 0.667, 0.750], [0.667, 0.333, 0.250], [0.349, 0.651, 0.250], [0.651, 0.349, 0.750], [0.002, 0.998, 0.250], [0.357, 0.643, 0.505], [0.357, 0.643, 0.995], [0.643, 0.357, 0.005], [0.643, 0.357, 0.495], [0.998, 0.002, 0.750]]
}

---

[3]
{
  "formula": "LuGaSnTe3",
  "functional": "PBE",
  "state": "optimized geometry",
  "space_group": "No. 63",
  "polymorph_energy_mev_per_atom": 31,
  "cell": [[2.225, -7.350, 0.000], [2.225, 7.350, 0.000], [0.000, 0.000, 11.037]],
  "species": ["Lu", "Lu", "Ga", "Ga", "Sn", "Sn", "Te", "Te", "Te", "Te", "Te", "Te"],
  "frac_coords": [[0.000, 0.000, 0.000], [0.000, 0.000, 0.500], [0.463, 0.537, 0.750], [0.537, 0.463, 0.250], [0.256, 0.744, 0.250], [0.744, 0.256, 0.750], [0.094, 0.906, 0.750], [0.356, 0.644, 0.537], [0.356, 0.644, 0.963], [0.644, 0.356, 0.037], [0.644, 0.356, 0.463], [0.906, 0.094, 0.250]]
}

---

[4]
{
  "formula": "SrLuGaTe3",
  "functional": "PBE",
  "state": "optimized geometry",
  "space_group": "No. 63",
  "e_tot_ev_per_atom": -4.080,
  "cell": [[2.242, -7.599, 0.000], [2.242, 7.599, 0.000], [0.000, 0.000, 11.086]],
  "species": ["Sr", "Sr", "Lu", "Lu", "Ga", "Ga", "Te", "Te", "Te", "Te", "Te", "Te"],
  "frac_coords": [[0.234, 0.766, 0.750], [0.766, 0.234, 0.250], [0.000, 0.000, 0.000], [0.000, 0.000, 0.500], [0.479, 0.521, 0.250], [0.521, 0.479, 0.750], [0.101, 0.899, 0.250], [0.359, 0.641, 0.039], [0.359, 0.641, 0.461], [0.641, 0.359, 0.539], [0.641, 0.359, 0.961], [0.899, 0.101, 0.750]]
}

---

no.,density (g cm⁻³)
1,7.98
2,6.46
3,6.86
4,6.29